[1]
# NdY5In2 | Alexandria | PBE | relaxed
data_NdY5In2
_chemical_formula_sum 'Nd4 Y20 In8'
_cell_length_a 5.2676
_cell_length_b 11.8431
_cell_length_c 15.9133
_cell_angle_alpha 90.00
_cell_angle_beta 90.00
_cell_angle_gamma 90.00
_space_group_name_H-M_alt 'C m c m'
_space_group_IT_number 63
_space_group_name_Hall '-C 2c 2'
loop_
_atom_site_label
_atom_site_fract_x
_atom_site_fract_y
_atom_site_fract_z
Nd1 0.0000 0.2372 0.2500
Y1 0.0000 0.0414 0.7500
Y2 0.0000 0.1419 0.0315
Y3 0.0000 0.4595 0.1044
In1 0.0000 0.2728 0.6387
# energy: -5.4881 eV/atom
# energy of formation from the pure elements: -0.167 eV per atom
# volume: 992.7 Å³/cell

---

[2]
# Hf2Mn2Re | Alexandria | PBE | relaxed
data_Hf2Mn2Re
_chemical_formula_sum 'Hf4 Mn4 Re2'
_cell_length_a 6.1616
_cell_length_b 6.1616
_cell_length_c 4.3003
_cell_angle_alpha 90.00
_cell_angle_beta 90.00
_cell_angle_gamma 90.00
_space_group_name_H-M_alt 'P 4/m b m'
_space_group_IT_number 127
_space_group_name_Hall '-P 4 2ab'
loop_
_atom_site_label
_atom_site_fract_x
_atom_site_fract_y
_atom_site_fract_z
Hf1 0.1823 0.3177 0.0000
Mn1 0.1230 0.6230 0.5000
Re1 0.0000 0.0000 0.5000
# energy: -10.2474 eV/atom
# energy of formation from the pure elements: -0.109 eV per atom
# volume: 163.3 Å³/cell

---

[3]
# TlCd2Br | Alexandria | PBE | relaxed
data_TlCd2Br
_chemical_formula_sum 'Tl2 Cd4 Br2'
_cell_length_a 5.1269
_cell_length_b 5.1269
_cell_length_c 9.1675
_cell_angle_alpha 90.00
_cell_angle_beta 90.00
_cell_angle_gamma 90.00
_space_group_name_H-M_alt 'I -4 m 2'
_space_group_IT_number 119
_space_group_name_Hall 'I -4 -2'
loop_
_atom_site_label
_atom_site_fract_x
_atom_site_fract_y
_atom_site_fract_z
Tl1 0.0000 0.0000 0.0000
Cd1 0.0000 0.0000 0.5000
Cd2 0.0000 0.5000 0.2500
Br1 0.0000 0.5000 0.7500
# energy: -1.6357 eV/atom
# volume: 241.0 Å³/cell
# excess energy over the best structure of this formula in the dataset: 0.130 eV/atom

---

[4]
# BaBiC2Se | Alexandria | PBE | relaxed
data_BaBiC2Se
_chemical_formula_sum 'Ba1 Bi1 C2 Se1'
_cell_length_a 4.7466
_cell_length_b 4.7466
_cell_length_c 5.5002
_cell_angle_alpha 90.00
_cell_angle_beta 90.00
_cell_angle_gamma 90.00
_space_group_name_H-M_alt 'P 4/m m m'
_space_group_IT_number 123
_space_group_name_Hall '-P 4 2'
loop_
_atom_site_label
_atom_site_fract_x
_atom_site_fract_y
_atom_site_fract_z
Ba1 0.0000 0.0000 0.0000
Bi1 0.5000 0.5000 0.0000
C1 0.0000 0.5000 0.5000
Se1 0.5000 0.5000 0.5000
# energy: -3.6827 eV/atom
# volume: 123.9 Å³/cell

---

[5]
# Ti2SiIr2 | Alexandria | PBE | relaxed
data_Ti2SiIr2
_chemical_formula_sum 'Ti4 Si2 Ir4'
_cell_length_a 7.2855
_cell_length_b 7.2855
_cell_length_c 2.9576
_cell_angle_alpha 90.00
_cell_angle_beta 90.00
_cell_angle_gamma 90.00
_space_group_name_H-M_alt 'P 4/m b m'
_space_group_IT_number 127
_space_group_name_Hall '-P 4 2ab'
loop_
_atom_site_label
_atom_site_fract_x
_atom_site_fract_y
_atom_site_fract_z
Ti1 0.1633 0.3367 0.0000
Si1 0.0000 0.0000 0.5000
Ir1 0.1351 0.6351 0.5000
# energy: -8.3890 eV/atom
# volume: 157.0 Å³/cell

---

[6]
# VMoC | Alexandria | PBE | relaxed
data_VMoC
_chemical_formula_sum 'V1 Mo1 C1'
_cell_length_a 2.9868
_cell_length_b 2.9868
_cell_length_c 4.5875
_cell_angle_alpha 90.00
_cell_angle_beta 90.00
_cell_angle_gamma 120.00
_space_group_name_H-M_alt 'P 3 m 1'
_space_group_IT_number 156
_space_group_name_Hall 'P 3 -2"'
loop_
_atom_site_label
_atom_site_fract_x
_atom_site_fract_y
_atom_site_fract_z
V1 0.0000 0.0000 0.0000
Mo1 0.6667 0.3333 0.4978
C1 0.3333 0.6667 0.7658
# energy: -10.0257 eV/atom
# energy of formation from the pure elements: -0.301 eV per atom
# volume: 35.4 Å³/cell
# excess energy over the best structure of this formula in the dataset: 0.000 eV/atom

---

[7]
# Tl3HgPd | Alexandria | PBE | relaxed
data_Tl3HgPd
_chemical_formula_sum 'Tl12 Hg4 Pd4'
_cell_length_a 8.5871
_cell_length_b 7.1550
_cell_length_c 10.4887
_cell_angle_alpha 90.00
_cell_angle_beta 124.56
_cell_angle_gamma 90.00
_space_group_name_H-M_alt 'P 1 21/c 1'
_space_group_IT_number 14
_space_group_name_Hall '-P 2ybc'
loop_
_atom_site_label
_atom_site_fract_x
_atom_site_fract_y
_atom_site_fract_z
Tl1 0.0819 0.1857 0.2367
Tl2 0.2406 0.0006 0.6042
Tl3 0.3436 0.0086 0.0724
Hg1 0.3789 0.6672 0.8948
Pd1 0.0309 0.6737 0.5802
# energy: -2.5837 eV/atom
# energy of formation from the pure elements: -0.065 eV per atom
# volume: 530.7 Å³/cell
# excess energy over the best structure of this formula in the dataset: 0.000 eV/atom

---

[8]
# Li2NdSn2Hg2 | Alexandria | PBE | relaxed
data_Li2NdSn2Hg2
_chemical_formula_sum 'Li6 Nd3 Sn6 Hg6'
_cell_length_a 4.7013
_cell_length_b 4.7013
_cell_length_c 25.4663
_cell_angle_alpha 90.00
_cell_angle_beta 90.00
_cell_angle_gamma 120.00
_space_group_name_H-M_alt 'R -3 m'
_space_group_IT_number 166
_space_group_name_Hall '-R 3 2"'
loop_
_atom_site_label
_atom_site_fract_x
_atom_site_fract_y
_atom_site_fract_z
Li1 0.0000 0.0000 0.1423
Nd1 0.0000 0.0000 0.0000
Sn1 0.0000 0.0000 0.2637
Hg1 0.0000 0.0000 0.4419
# energy: -2.8927 eV/atom
# energy of formation from the pure elements: -0.435 eV per atom
# volume: 487.5 Å³/cell